Entry 1:
# Li12Sn3P5

A relaxed structure of Li12Sn3P5 (GGA-PBE, Alexandria via LeMat-Bulk).

Space-group type: Ia-3d (230)
DOS(E_F) (states/eV/f.u.): 10.97
ΔE_f (kJ/mol of formula units): -6.9
VASP energy (eV for the cell shown): -248.383

Cell lengths 13.176, 13.176, 13.176 Å; angles 109.47, 109.47, 109.47 degrees
Positions (direct):
P 0.125 0.750 0.375
P 0.500 0.500 0.500
P 0.625 0.750 0.875
P 0.125 0.375 0.250
P 0.000 0.500 0.500
P 0.250 0.375 0.625
P 0.750 0.125 0.875
P 0.750 0.625 0.375
P 0.000 0.000 0.000
P 0.875 0.250 0.625
P 0.500 0.000 0.000
P 0.250 0.875 0.125
P 0.375 0.125 0.750
P 0.500 0.000 0.500
P 0.000 0.500 0.000
P 0.500 0.500 0.000
P 0.625 0.875 0.250
P 0.375 0.250 0.125
P 0.000 0.000 0.500
P 0.875 0.625 0.750
Li 0.060 0.194 0.520
Li 0.440 0.980 0.306
Li 0.694 0.174 0.634
Li 0.959 0.326 0.520
Li 0.041 0.674 0.480
Li 0.366 0.326 0.306
Li 0.326 0.366 0.806
Li 0.674 0.634 0.194
Li 0.634 0.959 0.440
Li 0.174 0.694 0.134
Li 0.980 0.440 0.806
Li 0.480 0.174 0.041
Li 0.366 0.041 0.560
Li 0.306 0.826 0.366
Li 0.806 0.940 0.980
Li 0.194 0.134 0.674
Li 0.041 0.366 0.060
Li 0.134 0.940 0.459
Li 0.866 0.060 0.541
Li 0.560 0.020 0.694
Li 0.459 0.020 0.826
Li 0.959 0.634 0.940
Li 0.134 0.194 0.174
Li 0.194 0.060 0.020
Li 0.306 0.480 0.440
Li 0.440 0.459 0.634
Li 0.326 0.959 0.020
Li 0.560 0.541 0.366
Li 0.541 0.560 0.866
Li 0.520 0.826 0.959
Li 0.020 0.459 0.326
Li 0.806 0.866 0.326
Li 0.694 0.520 0.560
Li 0.826 0.520 0.459
Li 0.541 0.980 0.174
Li 0.459 0.440 0.134
Li 0.674 0.041 0.980
Li 0.060 0.866 0.041
Li 0.866 0.806 0.826
Li 0.520 0.694 0.060
Li 0.480 0.306 0.940
Li 0.940 0.806 0.480
Li 0.940 0.134 0.959
Li 0.980 0.541 0.674
Li 0.020 0.560 0.194
Li 0.826 0.306 0.866
Li 0.634 0.674 0.694
Li 0.174 0.480 0.541
Sn 0.875 0.750 0.125
Sn 0.250 0.125 0.375
Sn 0.625 0.250 0.375
Sn 0.625 0.375 0.750
Sn 0.375 0.625 0.250
Sn 0.375 0.750 0.625
Sn 0.125 0.250 0.875
Sn 0.250 0.625 0.875
Sn 0.750 0.875 0.625
Sn 0.125 0.875 0.750
Sn 0.875 0.125 0.250
Sn 0.750 0.375 0.125

Entry 2:
# V7Mo2Rh3

A relaxed structure of V7Mo2Rh3 (GGA-PBE, Alexandria via LeMat-Bulk).

Space-group type: Cmmm (65)
DOS(E_F) (states/eV/f.u.): 10.86
ΔE_f (kJ/mol of formula units): 89.5
VASP energy (eV for the cell shown): -106.619

Cell lengths 4.247, 4.168, 10.568 Å; angles 101.37, 90.00, 90.00 degrees
Positions (direct):
Rh 0.500 0.653 0.305
Rh 0.500 0.347 0.695
Rh 0.500 0.500 0.000
V 0.500 0.077 0.154
V 0.000 0.714 0.427
V 0.000 0.286 0.573
V 0.000 0.000 0.000
V 0.000 0.429 0.857
V 0.500 0.923 0.846
V 0.000 0.571 0.143
Mo 0.000 0.854 0.707
Mo 0.000 0.146 0.293

Entry 3:
# U2AsC

A relaxed structure of U2AsC (GGA-PBE, Alexandria via LeMat-Bulk).

Space-group type: P2_1/m (11)
DOS(E_F) (states/eV/f.u.): 8.06
ΔE_f (kJ/mol of formula units): -113.3
VASP energy (eV for the cell shown): -75.249

Cell lengths 4.046, 4.511, 8.685 Å; angles 85.57, 90.00, 90.00 degrees
Site moments in Bohr magnetons follow the coordinates.
Positions (direct):
As 0.750 0.694 0.200  -0.08
As 0.250 0.306 0.800  -0.08
U 0.250 0.209 0.140  2.45
U 0.750 0.310 0.517  1.39
U 0.750 0.791 0.860  2.45
U 0.250 0.690 0.483  1.39
C 0.250 0.179 0.404  -0.06
C 0.750 0.821 0.596  -0.06